Record 1
# PBE-GGA Be3RuF, relaxed
data_Be3RuF
_symmetry_space_group_name_H-M 'P m -3 m'
_symmetry_Int_Tables_number 221
_symmetry_space_group_name_Hall '-P 4 2 3'
_cell_length_a 3.619
_cell_length_b 3.619
_cell_length_c 3.619
_cell_angle_alpha 90.00
_cell_angle_beta 90.00
_cell_angle_gamma 90.00
loop_
_atom_site_label
_atom_site_type_symbol
_atom_site_fract_x
_atom_site_fract_y
_atom_site_fract_z
Be1 Be 0.000 0.000 0.500
Ru1 Ru 0.500 0.500 0.500
F1 F 0.000 0.000 0.000
# Density, g/cm3: 5.15
# Total moment, μB/f.u.: 0.00
# Uncorrected formation energy, eV/atom: -0.34
# Energy above the most stable polymorph in this dataset, meV/atom: 0

=====

Record 2
# PBE-GGA BeRuF3, relaxed
data_BeRuF3
_symmetry_space_group_name_H-M 'P m -3 m'
_symmetry_Int_Tables_number 221
_symmetry_space_group_name_Hall '-P 4 2 3'
_cell_length_a 3.715
_cell_length_b 3.715
_cell_length_c 3.715
_cell_angle_alpha 90.00
_cell_angle_beta 90.00
_cell_angle_gamma 90.00
loop_
_atom_site_label
_atom_site_type_symbol
_atom_site_fract_x
_atom_site_fract_y
_atom_site_fract_z
Be1 Be 0.000 0.000 0.000
Ru1 Ru 0.500 0.500 0.500
F1 F 0.000 0.000 0.500
# Density, g/cm3: 5.41
# Total moment, μB/f.u.: 3.07
# Uncorrected formation energy, eV/atom: -1.28
# Energy above the most stable polymorph in this dataset, meV/atom: 0

=====

Record 3
# PBE-GGA Be3RuF, relaxed
data_Be3RuF
_symmetry_space_group_name_H-M 'P m -3 m'
_symmetry_Int_Tables_number 221
_symmetry_space_group_name_Hall '-P 4 2 3'
_cell_length_a 4.172
_cell_length_b 4.172
_cell_length_c 4.172
_cell_angle_alpha 90.00
_cell_angle_beta 90.00
_cell_angle_gamma 90.00
loop_
_atom_site_label
_atom_site_type_symbol
_atom_site_fract_x
_atom_site_fract_y
_atom_site_fract_z
Be1 Be 0.000 0.000 0.500
Ru1 Ru 0.000 0.000 0.000
F1 F 0.500 0.500 0.500
# Density, g/cm3: 3.36
# Total moment, μB/f.u.: 0.00
# Uncorrected formation energy, eV/atom: 0.63
# Energy above the most stable polymorph in this dataset, meV/atom: 974

=====

Record 4
# PBE-GGA Be2RuF, relaxed
data_Be2RuF
_symmetry_space_group_name_H-M 'I -4 2 d'
_symmetry_Int_Tables_number 122
_symmetry_space_group_name_Hall 'I -4 2bw'
_cell_length_a 5.210
_cell_length_b 5.210
_cell_length_c 6.275
_cell_angle_alpha 90.00
_cell_angle_beta 90.00
_cell_angle_gamma 90.00
loop_
_atom_site_label
_atom_site_type_symbol
_atom_site_fract_x
_atom_site_fract_y
_atom_site_fract_z
Be1 Be 0.165 0.750 0.125
Ru1 Ru 0.000 0.000 0.500
F1 F 0.000 0.000 0.000
# Density, g/cm3: 5.39
# Total moment, μB/f.u.: 0.71
# Uncorrected formation energy, eV/atom: -0.34
# Energy above the most stable polymorph in this dataset, meV/atom: 0